Record 1
PBE BPt2C, optimized geometry; theoretical density = 12.69 g/cm3; formation enthalpy at 0 K = 0.401 eV per atom; uncorrected energy = -6.5946 eV per atom; SG = I-42d, No. 122; relative energy among the computed polymorphs = 0.000 eV/f.u.
1.0
4.750 0.000 0.000
0.000 4.750 0.000
0.000 0.000 9.581
B Pt C
4 8 4
Direct
0.000 0.000 0.000 B
0.000 0.500 0.250 B
0.500 0.000 0.750 B
0.500 0.500 0.500 B
0.240 0.250 0.625 Pt
0.250 0.740 0.875 Pt
0.250 0.760 0.375 Pt
0.260 0.250 0.125 Pt
0.740 0.750 0.125 Pt
0.750 0.240 0.375 Pt
0.750 0.260 0.875 Pt
0.760 0.750 0.625 Pt
0.000 0.000 0.500 C
0.000 0.500 0.750 C
0.500 0.000 0.250 C
0.500 0.500 0.000 C

***

Record 2
PBE NaTaCd, optimized geometry; theoretical density = 6.39 g/cm3; formation enthalpy at 0 K = 0.751 eV per atom; uncorrected energy = -3.9451 eV per atom; SG = Pnma, No. 62; relative energy among the computed polymorphs = 1.838 eV/f.u.
1.0
11.844 0.000 0.000
0.000 5.217 0.000
0.000 0.000 5.323
Na Ta Cd
4 4 4
Direct
0.250 0.250 0.001 Na
0.250 0.750 0.501 Na
0.750 0.250 0.499 Na
0.750 0.750 0.999 Na
0.017 0.250 0.500 Ta
0.483 0.750 0.000 Ta
0.517 0.250 0.000 Ta
0.983 0.750 0.500 Ta
0.000 0.000 0.000 Cd
0.000 0.500 0.000 Cd
0.500 0.000 0.500 Cd
0.500 0.500 0.500 Cd

***

Record 3
PBE SnSO2F, optimized geometry; theoretical density = 4.73 g/cm3; uncorrected energy = -4.5426 eV per atom; SG = P4/mmm, No. 123; formation energy (no corrections) = -2.795 eV/f.u.
1.0
4.075 0.000 0.000
0.000 4.075 0.000
0.000 0.000 4.262
Sn S O F
1 1 2 1
Direct
0.000 0.000 0.000 Sn
0.500 0.500 0.500 S
0.000 0.500 0.000 O
0.500 0.000 0.000 O
0.000 0.000 0.500 F

***

Record 4
PBE Pm6TcGe2, optimized geometry; theoretical density = 6.92 g/cm3; formation enthalpy at 0 K = -0.285 eV per atom; uncorrected energy = -5.6296 eV per atom; SG = Immm, No. 71
1.0
-2.548 3.548 7.387
2.548 -3.548 7.387
2.548 3.548 -7.387
Pm Tc Ge
6 1 2
Direct
0.088 0.340 0.748 Pm
0.237 0.000 0.237 Pm
0.408 0.660 0.748 Pm
0.592 0.340 0.252 Pm
0.763 0.000 0.763 Pm
0.912 0.660 0.252 Pm
0.000 0.500 0.500 Tc
0.331 0.831 0.500 Ge
0.669 0.169 0.500 Ge

***

Record 5
PBE UTl2Ag2Te4, optimized geometry; theoretical density = 7.99 g/cm3; uncorrected energy = -4.2052 eV per atom; SG = C2/m, No. 12; formation energy (no corrections) = -3.556 eV/f.u.
1.0
8.025 -2.235 0.000
8.025 2.235 0.000
-2.975 0.000 7.950
U Tl Ag Te
1 2 2 4
Direct
0.000 0.000 0.000 U
0.134 0.134 0.582 Tl
0.866 0.866 0.418 Tl
0.316 0.316 0.010 Ag
0.684 0.684 0.990 Ag
0.200 0.200 0.212 Te
0.491 0.491 0.244 Te
0.509 0.509 0.756 Te
0.800 0.800 0.788 Te

***

Record 6
PBE KCa3Tc, optimized geometry; theoretical density = 2.26 g/cm3; formation enthalpy at 0 K = 0.438 eV per atom; uncorrected energy = -3.0561 eV per atom; SG = Pm-3m, No. 221; relative energy among the computed polymorphs = 0.000 eV/f.u.
1.0
5.737 0.000 0.000
0.000 5.737 0.000
0.000 0.000 5.737
K Ca Tc
1 3 1
Direct
0.000 0.000 0.000 K
0.000 0.500 0.500 Ca
0.500 0.000 0.500 Ca
0.500 0.500 0.000 Ca
0.500 0.500 0.500 Tc

***

Record 7
PBE ZrAg2Pd, optimized geometry; theoretical density = 8.61 g/cm3; formation enthalpy at 0 K = 0.213 eV per atom; uncorrected energy = -4.6480 eV per atom; SG = I-42d, No. 122; relative energy among the computed polymorphs = 1.288 eV/f.u.
1.0
7.673 0.000 0.000
0.000 7.673 0.000
0.000 0.000 5.417
Zr Ag Pd
4 8 4
Direct
0.000 0.000 0.000 Zr
0.000 0.500 0.250 Zr
0.500 0.000 0.750 Zr
0.500 0.500 0.500 Zr
0.231 0.750 0.625 Ag
0.250 0.231 0.375 Ag
0.250 0.269 0.875 Ag
0.269 0.750 0.125 Ag
0.731 0.250 0.125 Ag
0.750 0.731 0.875 Ag
0.750 0.769 0.375 Ag
0.769 0.250 0.625 Ag
0.000 0.000 0.500 Pd
0.000 0.500 0.750 Pd
0.500 0.000 0.250 Pd
0.500 0.500 0.000 Pd

***

Record 8
PBE Tb2Si2Ag, optimized geometry; theoretical density = 7.57 g/cm3; uncorrected energy = -5.2561 eV per atom; SG = P4/mbm, No. 127; formation energy (no corrections) = -3.323 eV/f.u.
1.0
7.018 0.000 0.000
0.000 7.018 0.000
0.000 0.000 4.290
Tb Si Ag
4 4 2
Direct
0.176 0.324 0.000 Tb
0.324 0.824 0.000 Tb
0.676 0.176 0.000 Tb
0.824 0.676 0.000 Tb
0.121 0.621 0.500 Si
0.379 0.121 0.500 Si
0.621 0.879 0.500 Si
0.879 0.379 0.500 Si
0.000 0.000 0.500 Ag
0.500 0.500 0.500 Ag

***

Record 9
PBE Rb2TeOsF6, optimized geometry; theoretical density = 4.16 g/cm3; uncorrected energy = -4.4524 eV per atom; SG = I4/mmm, No. 139; formation energy (no corrections) = -16.990 eV/f.u.
1.0
-3.401 3.401 5.206
3.401 -3.401 5.206
3.401 3.401 -5.206
Rb Te Os F
2 1 1 6
Direct
0.250 0.750 0.500 Rb
0.750 0.250 0.500 Rb
0.000 0.000 0.000 Te
0.500 0.500 0.000 Os
0.295 0.295 0.591 F
0.295 0.705 0.000 F
0.313 0.313 0.000 F
0.687 0.687 0.000 F
0.705 0.295 0.000 F
0.705 0.705 0.409 F

***

Record 10
PBE SnIr3Os, optimized geometry; theoretical density = 13.47 g/cm3; formation enthalpy at 0 K = 1.484 eV per atom; uncorrected energy = -6.8795 eV per atom; SG = Pm-3m, No. 221; relative energy among the computed polymorphs = 0.000 eV/f.u.
1.0
4.779 0.000 0.000
0.000 4.779 0.000
0.000 0.000 4.779
Sn Ir Os
1 3 1
Direct
0.000 0.000 0.000 Sn
0.000 0.500 0.500 Ir
0.500 0.000 0.500 Ir
0.500 0.500 0.000 Ir
0.500 0.500 0.500 Os

***

Record 11
PBE KC2, optimized geometry; theoretical density = 2.32 g/cm3; formation enthalpy at 0 K = 0.879 eV per atom; uncorrected energy = -5.6363 eV per atom; SG = Imma, No. 74; relative energy among the computed polymorphs = 1.123 eV/f.u.
1.0
2.706 0.000 0.000
0.000 5.121 0.000
0.000 0.000 13.067
K C
4 8
Direct
0.000 0.250 0.082 K
0.000 0.750 0.918 K
0.500 0.250 0.418 K
0.500 0.750 0.582 K
0.000 0.250 0.614 C
0.000 0.250 0.718 C
0.000 0.750 0.282 C
0.000 0.750 0.386 C
0.500 0.250 0.782 C
0.500 0.250 0.886 C
0.500 0.750 0.114 C
0.500 0.750 0.218 C

***

Record 12
PBE Tl2OsRh2O6, optimized geometry; theoretical density = 8.90 g/cm3; uncorrected energy = -6.1337 eV per atom; SG = C2/m, No. 12; formation energy (no corrections) = -7.056 eV/f.u.
1.0
2.768 -4.743 0.000
2.768 4.743 0.000
-1.899 0.000 6.401
Tl Os Rh O
2 1 2 6
Direct
0.169 0.831 0.000 Tl
0.831 0.169 0.000 Tl
0.000 0.000 0.500 Os
0.333 0.667 0.500 Rh
0.667 0.333 0.500 Rh
0.056 0.380 0.652 O
0.277 0.277 0.350 O
0.380 0.056 0.652 O
0.620 0.944 0.348 O
0.723 0.723 0.650 O
0.944 0.620 0.348 O

***

Record 13
PBE InSn2Te2, optimized geometry; theoretical density = 6.62 g/cm3; uncorrected energy = -3.4838 eV per atom; SG = C2/m, No. 12; relative energy among the computed polymorphs = 0.015 eV/f.u.; formation energy (no corrections) = -0.391 eV/f.u.
1.0
9.755 0.000 0.000
0.000 8.336 0.000
-1.722 0.000 3.747
In Sn Te
2 4 4
Direct
0.000 0.000 0.000 In
0.500 0.500 0.000 In
0.000 0.291 0.500 Sn
0.000 0.709 0.500 Sn
0.500 0.209 0.500 Sn
0.500 0.791 0.500 Sn
0.221 0.500 0.226 Te
0.279 0.000 0.774 Te
0.721 0.000 0.226 Te
0.779 0.500 0.774 Te

***

Record 14
PBE Pm3Sm2Er, optimized geometry; theoretical density = 7.31 g/cm3; formation enthalpy at 0 K = 0.106 eV per atom; uncorrected energy = -4.6032 eV per atom; SG = C2/m, No. 12; relative energy among the computed polymorphs = 0.653 eV/f.u.
1.0
6.652 -1.781 0.000
6.652 1.781 0.000
-3.780 0.000 17.304
Pm Sm Er
6 4 2
Direct
0.064 0.064 0.166 Pm
0.269 0.269 0.665 Pm
0.373 0.373 0.010 Pm
0.627 0.627 0.990 Pm
0.731 0.731 0.335 Pm
0.936 0.936 0.834 Pm
0.200 0.200 0.835 Sm
0.369 0.369 0.501 Sm
0.631 0.631 0.499 Sm
0.800 0.800 0.165 Sm
0.457 0.457 0.318 Er
0.543 0.543 0.682 Er

***

Record 15
PBE CaMgAlSn, optimized geometry; theoretical density = 3.59 g/cm3; formation enthalpy at 0 K = -0.190 eV per atom; uncorrected energy = -3.0254 eV per atom; SG = F-43m, No. 216
1.0
7.298 0.000 0.000
0.000 7.298 0.000
0.000 0.000 7.298
Ca Mg Al Sn
4 4 4 4
Direct
0.000 0.000 0.000 Ca
0.000 0.500 0.500 Ca
0.500 0.000 0.500 Ca
0.500 0.500 0.000 Ca
0.000 0.000 0.500 Mg
0.000 0.500 0.000 Mg
0.500 0.000 0.000 Mg
0.500 0.500 0.500 Mg
0.250 0.250 0.750 Al
0.250 0.750 0.250 Al
0.750 0.250 0.250 Al
0.750 0.750 0.750 Al
0.250 0.250 0.250 Sn
0.250 0.750 0.750 Sn
0.750 0.250 0.750 Sn
0.750 0.750 0.250 Sn

***

Record 16
PBE Tl2CdSn2, optimized geometry; theoretical density = 8.24 g/cm3; formation enthalpy at 0 K = 0.161 eV per atom; uncorrected energy = -2.5697 eV per atom; SG = P4/mbm, No. 127; relative energy among the computed polymorphs = 0.544 eV/f.u.
1.0
9.386 0.000 0.000
0.000 9.386 0.000
0.000 0.000 3.471
Tl Cd Sn
4 2 4
Direct
0.176 0.324 0.000 Tl
0.324 0.824 0.000 Tl
0.676 0.176 0.000 Tl
0.824 0.676 0.000 Tl
0.000 0.000 0.000 Cd
0.500 0.500 0.000 Cd
0.119 0.619 0.500 Sn
0.381 0.119 0.500 Sn
0.619 0.881 0.500 Sn
0.881 0.381 0.500 Sn

***

Record 17
PBE CrCuMo2H, optimized geometry; theoretical density = 8.85 g/cm3; uncorrected energy = -7.5570 eV per atom; SG = P4/mmm, No. 123
1.0
3.940 0.000 0.000
0.000 3.940 0.000
0.000 0.000 3.727
Cr Cu Mo H
1 1 2 1
Direct
0.000 0.000 0.000 Cr
0.500 0.500 0.000 Cu
0.000 0.500 0.500 Mo
0.500 0.000 0.500 Mo
0.000 0.000 0.500 H

***

Record 18
PBE Pr3Ho2Sc4, optimized geometry; theoretical density = 5.83 g/cm3; formation enthalpy at 0 K = 0.123 eV per atom; uncorrected energy = -5.3012 eV per atom; SG = C2/c, No. 15
1.0
7.949 -5.689 0.000
7.949 5.689 0.000
-0.759 0.000 5.869
Pr Ho Sc
6 4 8
Direct
0.145 0.855 0.750 Pr
0.213 0.462 0.902 Pr
0.462 0.213 0.402 Pr
0.538 0.787 0.598 Pr
0.787 0.538 0.098 Pr
0.855 0.145 0.250 Pr
0.002 0.763 0.209 Ho
0.237 0.998 0.291 Ho
0.763 0.002 0.709 Ho
0.998 0.237 0.791 Ho
0.099 0.364 0.355 Sc
0.327 0.564 0.452 Sc
0.364 0.099 0.855 Sc
0.436 0.673 0.048 Sc
0.564 0.327 0.952 Sc
0.636 0.901 0.145 Sc
0.673 0.436 0.548 Sc
0.901 0.636 0.645 Sc

***

Record 19
PBE Ca3Si4Pt2, optimized geometry; theoretical density = 5.67 g/cm3; uncorrected energy = -5.1963 eV per atom; SG = C2/m, No. 12; relative energy among the computed polymorphs = 0.538 eV/f.u.; formation energy (no corrections) = -6.988 eV/f.u.
1.0
5.391 -2.087 0.000
5.391 2.087 0.000
-2.577 0.000 8.105
Ca Si Pt
3 4 2
Direct
0.000 0.000 0.000 Ca
0.386 0.386 0.311 Ca
0.614 0.614 0.689 Ca
0.129 0.129 0.430 Si
0.277 0.277 0.939 Si
0.723 0.723 0.061 Si
0.871 0.871 0.570 Si
0.331 0.331 0.686 Pt
0.669 0.669 0.314 Pt

***

Record 20
PBE PmThSb2, optimized geometry; theoretical density = 8.91 g/cm3; uncorrected energy = -5.9398 eV per atom; SG = P4/mmm, No. 123; relative energy among the computed polymorphs = 0.895 eV/f.u.; formation energy (no corrections) = -3.344 eV/f.u.
1.0
5.461 0.000 0.000
0.000 5.461 0.000
0.000 0.000 3.877
Pm Th Sb
1 1 2
Direct
0.000 0.000 0.000 Pm
0.500 0.500 0.000 Th
0.000 0.500 0.500 Sb
0.500 0.000 0.500 Sb